Entry 1:
# Na2FeP2O6 (PBE with a Hubbard U, optimized geometry)
data_Na2FeP2O6
_chemical_formula_sum 'Na2 Fe1 P2 O6'
_space_group_name_H-M_alt 'P 1'
_space_group_IT_number 1
_space_group_name_Hall 'P 1'
_cell_length_a 5.467
_cell_length_b 5.467
_cell_length_c 6.435
_cell_angle_alpha 64.86
_cell_angle_beta 64.86
_cell_angle_gamma 60.00
loop_
_atom_site_label
_atom_site_type_symbol
_atom_site_fract_x
_atom_site_fract_y
_atom_site_fract_z
O1 O 0.744 0.744 0.240
O2 O 0.744 0.271 0.240
O3 O 0.256 0.729 0.760
P1 P 0.564 0.564 0.308
O4 O 0.729 0.256 0.760
Na1 Na 0.201 0.201 0.398
P2 P 0.436 0.436 0.692
Na2 Na 0.799 0.799 0.602
O5 O 0.271 0.744 0.240
Fe1 Fe 0.000 0.000 0.000
O6 O 0.256 0.256 0.760
# - density of states at the Fermi level (states/eV per atom) = 0.000
# - volume (Å³/cell) = 145.1
# - space group = No. 166
# - VASP energy (eV per cell) = -70.7

---

Entry 2:
# NaFePO4 (PBE with a Hubbard U, optimized geometry)
data_NaFePO4
_chemical_formula_sum 'Na4 Fe4 P4 O16'
_space_group_name_H-M_alt 'P 1'
_space_group_IT_number 1
_space_group_name_Hall 'P 1'
_cell_length_a 5.021
_cell_length_b 6.298
_cell_length_c 10.542
_cell_angle_alpha 90.00
_cell_angle_beta 90.00
_cell_angle_gamma 90.00
loop_
_atom_site_label
_atom_site_type_symbol
_atom_site_fract_x
_atom_site_fract_y
_atom_site_fract_z
O1 O 0.313 0.054 0.178
O2 O 0.252 0.750 0.887
O3 O 0.187 0.054 0.678
Na1 Na 0.500 0.000 0.500
O4 O 0.248 0.750 0.387
O5 O 0.313 0.446 0.178
P1 P 0.941 0.750 0.392
Fe1 Fe 0.516 0.250 0.786
O6 O 0.687 0.946 0.822
Fe2 Fe 0.016 0.750 0.714
O7 O 0.161 0.250 0.469
O8 O 0.687 0.554 0.822
Fe3 Fe 0.484 0.750 0.214
O9 O 0.813 0.554 0.322
P2 P 0.059 0.250 0.608
Na2 Na 0.500 0.500 0.500
P3 P 0.559 0.750 0.892
O10 O 0.187 0.446 0.678
Na3 Na 0.000 0.500 0.000
O11 O 0.752 0.250 0.613
O12 O 0.839 0.750 0.531
Fe4 Fe 0.984 0.250 0.286
O13 O 0.748 0.250 0.113
O14 O 0.813 0.946 0.322
O15 O 0.661 0.750 0.031
P4 P 0.441 0.250 0.108
O16 O 0.339 0.250 0.969
Na4 Na 0.000 0.000 0.000
# - density of states at the Fermi level (states/eV per atom) = 0.000
# - volume (Å³/cell) = 333.4
# - space group = No. 62
# - polymorph energy (0 for the lowest one) (kJ per mole of atoms) = 0.1

---

Entry 3:
# NaFe3P3O13 (PBE with a Hubbard U, optimized geometry)
data_NaFe3P3O13
_chemical_formula_sum 'Na2 Fe6 P6 O26'
_space_group_name_H-M_alt 'P 1'
_space_group_IT_number 1
_space_group_name_Hall 'P 1'
_cell_length_a 6.398
_cell_length_b 7.660
_cell_length_c 10.432
_cell_angle_alpha 80.79
_cell_angle_beta 90.00
_cell_angle_gamma 90.00
loop_
_atom_site_label
_atom_site_type_symbol
_atom_site_fract_x
_atom_site_fract_y
_atom_site_fract_z
O1 O 0.750 0.124 0.909
O2 O 0.750 0.025 0.592
Fe1 Fe 0.500 0.000 0.000
O3 O 0.059 0.372 0.784
O4 O 0.250 0.499 0.043
Fe2 Fe 0.250 0.645 0.191
Fe3 Fe 0.750 0.355 0.809
Fe4 Fe 0.250 0.213 0.441
O5 O 0.250 0.087 0.870
Na1 Na 0.250 0.654 0.816
P1 P 0.750 0.742 0.237
O6 O 0.250 0.876 0.091
Fe5 Fe 0.750 0.787 0.559
O7 O 0.057 0.746 0.570
O8 O 0.443 0.746 0.570
O9 O 0.750 0.501 0.957
O10 O 0.550 0.795 0.907
O11 O 0.441 0.372 0.784
P2 P 0.750 0.217 0.519
O12 O 0.050 0.205 0.093
P3 P 0.250 0.307 0.119
Fe6 Fe 0.000 0.000 0.000
O13 O 0.750 0.348 0.617
O14 O 0.250 0.346 0.261
O15 O 0.250 0.652 0.383
P4 P 0.250 0.258 0.763
O16 O 0.450 0.205 0.093
O17 O 0.941 0.628 0.216
O18 O 0.750 0.913 0.130
O19 O 0.943 0.254 0.430
O20 O 0.250 0.975 0.408
O21 O 0.750 0.654 0.739
Na2 Na 0.750 0.346 0.184
O22 O 0.750 0.800 0.372
O23 O 0.557 0.254 0.430
O24 O 0.250 0.200 0.628
O25 O 0.559 0.628 0.216
P5 P 0.750 0.693 0.881
P6 P 0.250 0.783 0.481
O26 O 0.950 0.795 0.907
# - density of states at the Fermi level (states/eV per atom) = 0.440
# - volume (Å³/cell) = 504.7
# - space group = No. 11
# - VASP energy (eV per cell) = -273.9

---

Entry 4:
# NaFePO4 (PBE with a Hubbard U, optimized geometry)
data_NaFePO4
_chemical_formula_sum 'Na2 Fe2 P2 O8'
_space_group_name_H-M_alt 'P 1'
_space_group_IT_number 1
_space_group_name_Hall 'P 1'
_cell_length_a 5.268
_cell_length_b 5.651
_cell_length_c 6.247
_cell_angle_alpha 90.00
_cell_angle_beta 106.00
_cell_angle_gamma 90.00
loop_
_atom_site_label
_atom_site_type_symbol
_atom_site_fract_x
_atom_site_fract_y
_atom_site_fract_z
O1 O 0.068 0.967 0.296
Na1 Na 0.705 0.750 0.940
O2 O 0.447 0.750 0.182
Fe1 Fe 0.199 0.250 0.527
P1 P 0.263 0.750 0.336
O3 O 0.440 0.750 0.579
O4 O 0.560 0.250 0.421
P2 P 0.737 0.250 0.664
O5 O 0.068 0.533 0.296
O6 O 0.932 0.467 0.704
O7 O 0.932 0.033 0.704
Na2 Na 0.295 0.250 0.060
Fe2 Fe 0.801 0.750 0.473
O8 O 0.553 0.250 0.818
# - density of states at the Fermi level (states/eV per atom) = 0.000
# - volume (Å³/cell) = 178.7
# - space group = No. 11
# - polymorph energy (0 for the lowest one) (kJ per mole of atoms) = 7.8

---

Entry 5:
# Na2FePO4 (PBE with a Hubbard U, optimized geometry)
data_Na2FePO4
_chemical_formula_sum 'Na2 Fe1 P1 O4'
_space_group_name_H-M_alt 'P 1'
_space_group_IT_number 1
_space_group_name_Hall 'P 1'
_cell_length_a 5.109
_cell_length_b 5.109
_cell_length_c 5.109
_cell_angle_alpha 103.88
_cell_angle_beta 112.34
_cell_angle_gamma 112.34
loop_
_atom_site_label
_atom_site_type_symbol
_atom_site_fract_x
_atom_site_fract_y
_atom_site_fract_z
P1 P 0.000 0.500 0.500
Na1 Na 0.500 0.750 0.250
O1 O 0.976 0.502 0.186
O2 O 0.684 0.474 0.498
O3 O 0.024 0.210 0.526
Na2 Na 0.000 0.000 0.000
Fe1 Fe 0.500 0.250 0.750
O4 O 0.316 0.814 0.790
# - density of states at the Fermi level (states/eV per atom) = 0.341
# - volume (Å³/cell) = 101.9
# - space group = No. 82
# - VASP energy (eV per cell) = -47.5

---

Entry 6:
# Na7Fe4P9O32 (PBE with a Hubbard U, optimized geometry)
data_Na7Fe4P9O32
_chemical_formula_sum 'Na14 Fe8 P18 O64'
_space_group_name_H-M_alt 'P 1'
_space_group_IT_number 1
_space_group_name_Hall 'P 1'
_cell_length_a 6.465
_cell_length_b 14.301
_cell_length_c 14.304
_cell_angle_alpha 90.00
_cell_angle_beta 89.62
_cell_angle_gamma 90.00
loop_
_atom_site_label
_atom_site_type_symbol
_atom_site_fract_x
_atom_site_fract_y
_atom_site_fract_z
O1 O 0.570 0.755 0.494
Na1 Na 0.844 0.480 0.980
O2 O 0.622 0.174 0.334
Na2 Na 0.618 0.739 0.906
O3 O 0.814 0.859 0.819
O4 O 0.924 0.749 0.994
O5 O 0.856 0.066 0.943
P1 P 0.640 0.887 0.753
O6 O 0.070 0.994 0.255
P2 P 0.604 0.555 0.800
O7 O 0.668 0.351 0.245
O8 O 0.644 0.566 0.557
P3 P 0.500 0.500 0.499
Na3 Na 0.378 0.906 0.260
O9 O 0.438 0.105 0.190
P4 P 0.896 0.055 0.700
P5 P 0.142 0.252 0.387
O10 O 0.647 0.436 0.441
Na4 Na 0.000 0.501 0.499
O11 O 0.062 0.396 0.691
O12 O 0.832 0.851 0.255
Na5 Na 0.500 0.001 0.001
O13 O 0.424 0.506 0.752
O14 O 0.378 0.335 0.827
O15 O 0.901 0.934 0.406
O16 O 0.175 0.780 0.506
O17 O 0.145 0.942 0.936
O18 O 0.187 0.181 0.860
P6 P 0.105 0.699 0.946
Fe1 Fe 0.878 0.192 0.880
P7 P 0.860 0.387 0.747
O19 O 0.438 0.896 0.809
P8 P 0.000 0.000 0.001
O20 O 0.062 0.605 0.310
O21 O 0.676 0.007 0.281
O22 O 0.183 0.819 0.141
O23 O 0.313 0.681 0.640
O24 O 0.941 0.308 0.397
O25 O 0.184 0.216 0.493
Na6 Na 0.344 0.519 0.019
Na7 Na 0.382 0.094 0.739
O26 O 0.936 0.690 0.606
O27 O 0.878 0.674 0.166
Fe2 Fe 0.125 0.120 0.192
Na8 Na 0.882 0.239 0.594
O28 O 0.325 0.280 0.994
O29 O 0.559 0.808 0.103
O30 O 0.684 0.994 0.718
Na9 Na 0.878 0.760 0.405
O31 O 0.099 0.406 0.066
Fe3 Fe 0.873 0.808 0.121
O32 O 0.430 0.494 0.245
Na10 Na 0.656 0.980 0.520
O33 O 0.816 0.140 0.181
Na11 Na 0.122 0.406 0.240
O34 O 0.824 0.507 0.219
O35 O 0.418 0.095 0.565
Fe4 Fe 0.622 0.692 0.620
O36 O 0.576 0.249 0.506
O37 O 0.686 0.359 0.681
O38 O 0.162 0.745 0.851
O39 O 0.564 0.190 0.894
Fe5 Fe 0.125 0.879 0.808
Fe6 Fe 0.375 0.620 0.308
O40 O 0.375 0.664 0.172
Fe7 Fe 0.627 0.308 0.379
O41 O 0.125 0.164 0.328
P9 P 0.862 0.614 0.253
Na12 Na 0.622 0.260 0.095
P10 P 0.364 0.247 0.886
O42 O 0.918 0.065 0.595
O43 O 0.082 0.595 0.935
O44 O 0.122 0.835 0.673
P11 P 0.395 0.199 0.554
P12 P 0.358 0.752 0.113
O45 O 0.163 0.255 0.149
O46 O 0.853 0.936 0.059
O47 O 0.875 0.329 0.837
O48 O 0.316 0.716 0.007
Fe8 Fe 0.375 0.379 0.692
O49 O 0.684 0.640 0.319
O50 O 0.625 0.829 0.663
P13 P 0.136 0.747 0.614
O51 O 0.317 0.319 0.359
O52 O 0.582 0.565 0.905
O53 O 0.337 0.755 0.351
O54 O 0.656 0.650 0.755
P14 P 0.616 0.446 0.199
O55 O 0.816 0.494 0.782
O56 O 0.930 0.255 0.006
P15 P 0.638 0.114 0.247
O57 O 0.355 0.442 0.564
O58 O 0.353 0.557 0.435
O59 O 0.338 0.245 0.649
P16 P 0.115 0.301 0.055
O60 O 0.076 0.006 0.748
O61 O 0.401 0.906 0.434
P17 P 0.884 0.946 0.301
Na13 Na 0.156 0.019 0.481
O62 O 0.147 0.057 0.065
Na14 Na 0.118 0.594 0.761
O63 O 0.599 0.434 0.094
P18 P 0.385 0.801 0.445
O64 O 0.844 0.150 0.745
# - density of states at the Fermi level (states/eV per atom) = 0.000
# - volume (Å³/cell) = 1322.5
# - space group = No. 4
# - VASP energy (eV per cell) = -699.8

---

Entry 7:
# NaFePO4 (PBE with a Hubbard U, optimized geometry)
data_NaFePO4
_chemical_formula_sum 'Na2 Fe2 P2 O8'
_space_group_name_H-M_alt 'P 1'
_space_group_IT_number 1
_space_group_name_Hall 'P 1'
_cell_length_a 5.073
_cell_length_b 5.073
_cell_length_c 6.887
_cell_angle_alpha 90.00
_cell_angle_beta 90.00
_cell_angle_gamma 114.55
loop_
_atom_site_label
_atom_site_type_symbol
_atom_site_fract_x
_atom_site_fract_y
_atom_site_fract_z
O1 O 0.324 0.210 0.750
Fe1 Fe 0.000 0.000 0.500
O2 O 0.769 0.231 0.568
Na1 Na 0.316 0.684 0.750
Fe2 Fe 0.000 0.000 0.000
O3 O 0.231 0.769 0.068
O4 O 0.210 0.324 0.250
Na2 Na 0.684 0.316 0.250
O5 O 0.790 0.676 0.750
P1 P 0.336 0.664 0.250
P2 P 0.664 0.336 0.750
O6 O 0.769 0.231 0.932
O7 O 0.676 0.790 0.250
O8 O 0.231 0.769 0.432
# - density of states at the Fermi level (states/eV per atom) = 0.000
# - volume (Å³/cell) = 161.2
# - space group = No. 63
# - polymorph energy (0 for the lowest one) (kJ per mole of atoms) = 0.6

---

Entry 8:
# NaFePO4 (PBE with a Hubbard U, optimized geometry)
data_NaFePO4
_chemical_formula_sum 'Na4 Fe4 P4 O16'
_space_group_name_H-M_alt 'P 1'
_space_group_IT_number 1
_space_group_name_Hall 'P 1'
_cell_length_a 5.113
_cell_length_b 6.920
_cell_length_c 9.118
_cell_angle_alpha 90.00
_cell_angle_beta 90.00
_cell_angle_gamma 90.00
loop_
_atom_site_label
_atom_site_type_symbol
_atom_site_fract_x
_atom_site_fract_y
_atom_site_fract_z
P1 P 0.535 0.250 0.325
Fe1 Fe 0.500 0.000 0.000
O1 O 0.545 0.250 0.153
O2 O 0.249 0.250 0.384
Fe2 Fe 0.000 0.000 0.500
O3 O 0.680 0.068 0.380
P2 P 0.465 0.750 0.675
O4 O 0.751 0.750 0.616
O5 O 0.820 0.068 0.880
O6 O 0.045 0.750 0.347
Na1 Na 0.529 0.750 0.349
Na2 Na 0.471 0.250 0.651
O7 O 0.180 0.932 0.120
Fe3 Fe 0.500 0.500 0.000
O8 O 0.820 0.432 0.880
Na3 Na 0.029 0.250 0.151
P3 P 0.965 0.250 0.825
O9 O 0.320 0.932 0.620
Na4 Na 0.971 0.750 0.849
O10 O 0.680 0.432 0.380
Fe4 Fe 0.000 0.500 0.500
O11 O 0.455 0.750 0.847
O12 O 0.955 0.250 0.653
P4 P 0.035 0.750 0.175
O13 O 0.320 0.568 0.620
O14 O 0.749 0.750 0.116
O15 O 0.251 0.250 0.884
O16 O 0.180 0.568 0.120
# - density of states at the Fermi level (states/eV per atom) = 0.000
# - volume (Å³/cell) = 322.6
# - space group = No. 62
# - polymorph energy (0 for the lowest one) (kJ per mole of atoms) = 0.0

---

Question: Number 7 is which compound?
Answer: NaFePO4